No. 1
Computed, not measured: a geometry-optimized CeErAu6 structure at the PBE level of DFT.

```
16
Lattice="8.566 0.000 0.000 0.000 4.868 0.000 -3.037 0.000 8.037" Properties=species:S:1:pos:R:3 pbc="T T T"
Ce 0.000 0.000 0.000
Ce 4.283 2.434 0.000
Er -1.518 2.434 4.019
Er 2.765 0.000 4.019
Au -1.590 2.434 6.963
Au -0.064 0.000 3.080
Au -0.148 0.000 6.043
Au 1.394 2.434 1.994
Au 1.310 2.434 4.957
Au 2.837 0.000 1.074
Au 2.693 0.000 6.963
Au 4.219 2.434 3.080
Au 4.135 2.434 6.043
Au 5.677 0.000 1.994
Au 5.593 0.000 4.957
Au 7.120 2.434 1.074
```

Values from the calculation:
Energy of formation from the pure elements, eV per atom: -0.62
Mass density, g/cm3: 14.758

No. 2
Computed, not measured: a geometry-optimized CeEr4Au5 structure at the PBE level of DFT.

```
10
Lattice="3.555 0.000 0.000 0.000 3.555 0.000 0.000 0.000 18.358" Properties=species:S:1:pos:R:3 pbc="T T T"
Ce 0.000 0.000 0.000
Er 0.000 0.000 3.766
Er 0.000 0.000 7.371
Er 0.000 0.000 10.986
Er 0.000 0.000 14.592
Au 1.778 1.778 2.067
Au 1.778 1.778 5.576
Au 1.778 1.778 9.179
Au 1.778 1.778 12.782
Au 1.778 1.778 16.291
```

Values from the calculation:
Energy of formation from the pure elements, eV per atom: -0.83
Mass density, g/cm3: 12.838

No. 3
Computed, not measured: a geometry-optimized Ce5ErAu6 structure at the PBE level of DFT.

```
12
Lattice="8.086 -3.748 0.000 8.086 3.748 0.000 -1.605 0.000 4.869" Properties=species:S:1:pos:R:3 pbc="T T T"
Ce 0.000 0.000 0.000
Ce 1.458 0.000 3.184
Ce 4.649 0.000 1.564
Ce 9.917 0.000 3.305
Ce 13.108 0.000 1.685
Er 8.086 0.000 0.000
Au 4.145 1.726 4.097
Au 7.283 1.611 2.435
Au 10.421 1.726 0.772
Au 4.145 -1.726 4.097
Au 7.283 -1.611 2.435
Au 10.421 -1.726 0.772
```

Values from the calculation:
Energy of formation from the pure elements, eV per atom: -0.65
Mass density, g/cm3: 11.532

No. 4
Computed, not measured: a geometry-optimized CeErAu3 structure at the PBE level of DFT.

```
10
Lattice="1.795 -14.105 0.000 1.795 14.105 0.000 0.000 0.000 4.638" Properties=species:S:1:pos:R:3 pbc="T T T"
Ce 1.795 12.023 3.479
Ce 1.795 -12.023 1.160
Er 1.795 8.256 1.160
Er 1.795 -8.256 3.479
Au 1.795 5.246 1.160
Au 1.795 3.492 3.479
Au 1.795 0.736 3.479
Au 1.795 -0.736 1.160
Au 1.795 -3.492 1.160
Au 1.795 -5.246 3.479
```

Values from the calculation:
Energy of formation from the pure elements, eV per atom: -0.76
Mass density, g/cm3: 12.704

No. 5
Computed, not measured: a geometry-optimized CeErAu4 structure at the PBE level of DFT.

```
12
Lattice="9.913 0.000 0.000 0.000 3.743 0.000 -2.913 0.000 7.099" Properties=species:S:1:pos:R:3 pbc="T T T"
Ce 0.000 0.000 0.000
Ce 4.957 1.872 0.000
Er -1.456 0.000 3.549
Er 3.500 1.872 3.549
Au -0.772 1.872 5.825
Au 0.656 1.872 2.421
Au 1.388 0.000 4.677
Au 2.815 0.000 1.273
Au 4.185 0.000 5.825
Au 5.613 0.000 2.421
Au 6.345 1.872 4.677
Au 7.772 1.872 1.273
```

Values from the calculation:
Energy of formation from the pure elements, eV per atom: -0.76
Mass density, g/cm3: 13.808

No. 6
Computed, not measured: a geometry-optimized Ce2ErAu4 structure at the PBE level of DFT.

```
14
Lattice="5.219 0.000 0.000 0.000 5.219 0.000 0.000 0.000 13.207" Properties=species:S:1:pos:R:3 pbc="T T T"
Ce 0.000 0.000 2.917
Ce 0.000 0.000 10.290
Ce 2.610 2.610 3.686
Ce 2.610 2.610 9.521
Er 0.000 0.000 6.604
Er 2.610 2.610 0.000
Au 0.000 2.610 1.491
Au 0.000 2.610 5.113
Au 0.000 2.610 8.095
Au 0.000 2.610 11.716
Au 2.610 0.000 1.491
Au 2.610 0.000 5.113
Au 2.610 0.000 8.095
Au 2.610 0.000 11.716
```

Values from the calculation:
Energy of formation from the pure elements, eV per atom: -0.57
Mass density, g/cm3: 11.404

No. 7
Computed, not measured: a geometry-optimized Ce2ErAu structure at the PBE level of DFT.

```
16
Lattice="7.515 0.000 0.000 0.000 7.515 0.000 0.000 0.000 7.515" Properties=species:S:1:pos:R:3 pbc="T T T"
Ce 1.879 1.879 1.879
Ce 1.879 1.879 5.636
Ce 1.879 5.636 1.879
Ce 1.879 5.636 5.636
Ce 5.636 1.879 1.879
Ce 5.636 1.879 5.636
Ce 5.636 5.636 1.879
Ce 5.636 5.636 5.636
Er 0.000 0.000 0.000
Er 0.000 3.758 3.758
Er 3.758 0.000 3.758
Er 3.758 3.758 0.000
Au 0.000 0.000 3.758
Au 0.000 3.758 0.000
Au 3.758 0.000 0.000
Au 3.758 3.758 3.758
```

Values from the calculation:
Energy of formation from the pure elements, eV per atom: -0.06
Polymorph energy (0 for the lowest one), meV per atom: 212
Mass density, g/cm3: 10.085

No. 8
Computed, not measured: a geometry-optimized CeEr2Au4 structure at the PBE level of DFT.

```
14
Lattice="7.139 0.000 0.000 0.000 9.834 0.000 0.000 0.000 5.074" Properties=species:S:1:pos:R:3 pbc="T T T"
Ce 0.000 0.000 0.000
Ce 3.570 4.917 0.000
Er 0.000 2.793 2.537
Er 0.000 7.041 2.537
Er 3.570 2.124 2.537
Er 3.570 7.710 2.537
Au 1.524 0.000 2.537
Au 1.785 2.459 0.000
Au 1.785 7.376 0.000
Au 2.046 4.917 2.537
Au 5.094 4.917 2.537
Au 5.354 2.459 0.000
Au 5.354 7.376 0.000
Au 5.615 0.000 2.537
```

Values from the calculation:
Energy of formation from the pure elements, eV per atom: -0.65
Mass density, g/cm3: 11.770

No. 9
Computed, not measured: a geometry-optimized Ce3ErAu7 structure at the PBE level of DFT.

```
22
Lattice="1.866 -11.061 0.000 1.866 11.061 0.000 0.000 0.000 13.045" Properties=species:S:1:pos:R:3 pbc="T T T"
Ce 1.866 7.967 7.310
Ce 1.866 7.967 12.256
Ce 1.866 6.713 3.261
Ce 1.866 -6.713 9.783
Ce 1.866 -7.967 0.788
Ce 1.866 -7.967 5.734
Er 1.866 10.905 3.261
Er 1.866 -10.905 9.783
Au 1.866 4.913 7.432
Au 1.866 4.913 12.135
Au 1.866 2.618 3.261
Au 1.866 2.166 8.299
Au 1.866 2.166 11.268
Au 1.866 0.706 1.119
Au 1.866 0.706 5.403
Au 1.866 -0.706 7.642
Au 1.866 -0.706 11.925
Au 1.866 -2.166 1.777
Au 1.866 -2.166 4.745
Au 1.866 -2.618 9.783
Au 1.866 -4.913 0.909
Au 1.866 -4.913 5.613
```

Values from the calculation:
Energy of formation from the pure elements, eV per atom: -0.62
Mass density, g/cm3: 12.128

No. 10
Computed, not measured: a geometry-optimized CeErGa2Au4 structure at the PBE level of DFT.

```
8
Lattice="2.356 1.360 8.652 -2.356 1.360 8.652 0.000 -2.720 8.652" Properties=species:S:1:pos:R:3 pbc="T T T"
Ce 0.000 0.000 0.000
Er 0.000 0.000 12.979
Ga 0.000 0.000 6.446
Ga 0.000 0.000 19.512
Au 0.000 0.000 3.171
Au 0.000 0.000 10.039
Au 0.000 0.000 15.918
Au 0.000 0.000 22.787
```

Values from the calculation:
Energy of formation from the pure elements, eV per atom: -0.62
Mass density, g/cm3: 12.327

No. 11
Computed, not measured: a geometry-optimized CeErGa2Au2 structure at the PBE level of DFT.

```
6
Lattice="4.540 0.000 0.000 -2.270 3.932 0.000 0.000 0.000 7.286" Properties=species:S:1:pos:R:3 pbc="T T T"
Ce 0.000 0.000 0.000
Er 0.000 0.000 3.643
Ga 0.000 2.621 1.874
Ga 2.270 1.311 5.413
Au 0.000 2.621 5.290
Au 2.270 1.311 1.997
```

Values from the calculation:
Energy of formation from the pure elements, eV per atom: -0.74
Mass density, g/cm3: 10.735

No. 12
Computed, not measured: a geometry-optimized Ce2ErGa3Au4 structure at the PBE level of DFT.

```
10
Lattice="4.391 0.000 0.000 0.000 4.391 0.000 0.000 0.000 11.565" Properties=species:S:1:pos:R:3 pbc="T T T"
Ce 0.000 2.196 2.554
Ce 2.196 0.000 9.011
Er 0.000 0.000 5.783
Ga 0.000 2.196 10.105
Ga 2.196 0.000 1.460
Ga 2.196 2.196 5.783
Au 0.000 0.000 0.000
Au 0.000 2.196 7.578
Au 2.196 0.000 3.987
Au 2.196 2.196 0.000
```

Values from the calculation:
Energy of formation from the pure elements, eV per atom: -0.61
Mass density, g/cm3: 10.755